Entry 1:
Tm3Sc | GGA-PBE | optimized geometry

The value obtained for the total energy is -39.4 eV for the cell shown. The value obtained for the energy above the most stable polymorph in this dataset is 1.0 meV per atom. The calculation puts the energy relative to the elements at 0.01 eV/atom.

It has space group Imm2 (No. 44), with a = 3.5046 Å, b = 10.8764 Å, c = 6.0535 Å, α = 90.00°, β = 90.00° and γ = 90.00°. The distinct sites, in fractional coordinates, are Tm at (0.0000, 0.0000, 0.0000), Tm at (0.0000, 0.2461, 0.6625) and Sc at (0.0000, 0.5000, 0.9962).

***

Entry 2:
URuC2 | GGA-PBE | optimized geometry

The value obtained for the total energy is -116.8 eV for the cell shown. The value obtained for the energy above the most stable polymorph in this dataset is 41.8 meV per atom. The calculation puts the energy relative to the elements at 0.02 eV/atom.

It has space group R-3m (No. 166, hexagonal axes), with a = 3.4455 Å, b = 3.4455 Å, c = 14.0860 Å, α = 90.00°, β = 90.00° and γ = 120.00°. The distinct sites, in fractional coordinates, are U at (0.0000, 0.0000, 0.0000), Ru at (0.0000, 0.0000, 0.5000) and C at (0.0000, 0.0000, 0.2387).

***

Entry 3:
NdSm2Tl2 | GGA-PBE | optimized geometry

The value obtained for the total energy is -39.5 eV for the cell shown. The value obtained for the energy above the most stable polymorph in this dataset is 0.0 meV per atom. The calculation puts the energy relative to the elements at -0.16 eV/atom.

It has space group C2/m (No. 12), with a = 6.6993 Å, b = 6.6937 Å, c = 7.8696 Å, α = 90.00°, β = 115.05° and γ = 90.00°. The distinct sites, in fractional coordinates, are Nd at (0.0000, 0.0000, 0.0000), Sm at (0.0000, 0.2500, 0.5000) and Tl at (0.1004, 0.5000, 0.1982).

***

Entry 4:
TaAl2AgSb | GGA-PBE | optimized geometry

The value obtained for the total energy is -22.7 eV for the cell shown. As for the formation energy (no corrections): 729 meV per atom.

It has space group P4/mmm (No. 123), with a = 5.0837 Å, b = 5.0837 Å, c = 5.2651 Å, α = 90.00°, β = 90.00° and γ = 90.00°. The distinct sites, in fractional coordinates, are Ta at (0.0000, 0.0000, 0.0000), Al at (0.0000, 0.5000, 0.0000), Ag at (0.5000, 0.5000, 0.5000) and Sb at (0.0000, 0.0000, 0.5000).

***

Entry 5:
Cs2Rb2Pt | GGA-PBE | optimized geometry

The value obtained for the total energy is -17.4 eV for the cell shown. The value obtained for the energy above the most stable polymorph in this dataset is 24.0 meV per atom. The calculation puts the energy relative to the elements at 0.20 eV/atom.

It has space group P4/mbm (No. 127), with a = 9.0428 Å, b = 9.0428 Å, c = 7.4811 Å, α = 90.00°, β = 90.00° and γ = 90.00°. The distinct sites, in fractional coordinates, are Cs at (0.1981, 0.3019, 0.0000), Rb at (0.1713, 0.6713, 0.5000) and Pt at (0.0000, 0.0000, 0.5000).

***

Entry 6:
PmSi2NiIr | GGA-PBE | optimized geometry

The value obtained for the total energy is -69.5 eV for the cell shown. As for the formation energy (no corrections): -906 meV per atom.

It has space group I-4m2 (No. 119), with a = 4.0446 Å, b = 4.0446 Å, c = 10.0639 Å, α = 90.00°, β = 90.00° and γ = 90.00°. The distinct sites, in fractional coordinates, are Pm at (0.0000, 0.0000, 0.0000), Si at (0.0000, 0.0000, 0.3765), Ni at (0.0000, 0.5000, 0.2500) and Ir at (0.0000, 0.5000, 0.7500).

***

Entry 7:
Sm12Y3Mg | GGA-PBE | optimized geometry

The value obtained for the total energy is -77.4 eV for the cell shown. The calculation puts the energy relative to the elements at 0.02 eV/atom.

It has space group P4/mmm (No. 123), with a = 5.0764 Å, b = 5.0764 Å, c = 20.4173 Å, α = 90.00°, β = 90.00° and γ = 90.00°. The distinct sites, in fractional coordinates, are Sm at (0.0000, 0.0000, 0.0000), Sm at (0.0000, 0.0000, 0.2459), Sm at (0.0000, 0.0000, 0.5000), Sm at (0.0000, 0.5000, 0.1224), Sm at (0.0000, 0.5000, 0.3739), Y at (0.5000, 0.5000, 0.2478), Y at (0.5000, 0.5000, 0.5000) and Mg at (0.5000, 0.5000, 0.0000).

***

Entry 8:
PmNdLuSc | GGA-PBE | optimized geometry

The value obtained for the total energy is -80.1 eV for the cell shown. The calculation puts the energy relative to the elements at 0.08 eV/atom.

It has space group F-43m (No. 216), with a = 7.9009 Å, b = 7.9009 Å, c = 7.9009 Å, α = 90.00°, β = 90.00° and γ = 90.00°. The distinct sites, in fractional coordinates, are Pm at (0.0000, 0.0000, 0.0000), Nd at (0.0000, 0.0000, 0.5000), Lu at (0.2500, 0.2500, 0.2500) and Sc at (0.2500, 0.2500, 0.7500).

***

Entry 9:
EuZnPt | GGA-PBE | optimized geometry

The value obtained for the total energy is -77.5 eV for the cell shown. The calculation puts the energy relative to the elements at -0.60 eV/atom.

It has space group F-43m (No. 216), with a = 6.6502 Å, b = 6.6502 Å, c = 6.6502 Å, α = 90.00°, β = 90.00° and γ = 90.00°. The distinct sites, in fractional coordinates, are Eu at (0.0000, 0.0000, 0.0000), Zn at (0.0000, 0.0000, 0.5000) and Pt at (0.2500, 0.2500, 0.2500).

***

Entry 10:
CePrTePb | GGA-PBE | optimized geometry

The value obtained for the total energy is -82.4 eV for the cell shown. As for the formation energy (no corrections): -760 meV per atom. The value obtained for the energy above the most stable polymorph in this dataset is 191.4 meV per atom.

It has space group F-43m (No. 216), with a = 7.8433 Å, b = 7.8433 Å, c = 7.8433 Å, α = 90.00°, β = 90.00° and γ = 90.00°. The distinct sites, in fractional coordinates, are Ce at (0.0000, 0.0000, 0.0000), Pr at (0.0000, 0.0000, 0.5000), Te at (0.2500, 0.2500, 0.7500) and Pb at (0.2500, 0.2500, 0.2500).

***

Entry 11:
Th3ScN | GGA-PBE | optimized geometry

The value obtained for the total energy is -40.0 eV for the cell shown. As for the formation energy (no corrections): -611 meV per atom.

It has space group Pm-3m (No. 221), with a = 5.0336 Å, b = 5.0336 Å, c = 5.0336 Å, α = 90.00°, β = 90.00° and γ = 90.00°. The distinct sites, in fractional coordinates, are Th at (0.0000, 0.0000, 0.5000), Sc at (0.5000, 0.5000, 0.5000) and N at (0.0000, 0.0000, 0.0000).

***

Entry 12:
CdPbBr2 | GGA-PBE | optimized geometry

The value obtained for the total energy is -18.6 eV for the cell shown. As for the formation energy (no corrections): -332 meV per atom. The value obtained for the energy above the most stable polymorph in this dataset is 206.2 meV per atom.

It has space group I-4m2 (No. 119), with a = 4.5986 Å, b = 4.5986 Å, c = 11.1324 Å, α = 90.00°, β = 90.00° and γ = 90.00°. The distinct sites, in fractional coordinates, are Cd at (0.0000, 0.0000, 0.0000), Pb at (0.0000, 0.5000, 0.7500), Br at (0.0000, 0.0000, 0.5000) and Br at (0.0000, 0.5000, 0.2500).

***

Entry 13:
BaTiMo3 | GGA-PBE | optimized geometry

The value obtained for the total energy is -27.5 eV for the cell shown. The value obtained for the energy above the most stable polymorph in this dataset is 1482.5 meV per atom. The calculation puts the energy relative to the elements at 2.97 eV/atom.

It has space group Pm-3m (No. 221), with a = 4.9337 Å, b = 4.9337 Å, c = 4.9337 Å, α = 90.00°, β = 90.00° and γ = 90.00°. The distinct sites, in fractional coordinates, are Ba at (0.0000, 0.0000, 0.0000), Ti at (0.5000, 0.5000, 0.5000) and Mo at (0.0000, 0.0000, 0.5000).

***

Entry 14:
Cr3Rh | GGA-PBE | optimized geometry

The value obtained for the total energy is -71.3 eV for the cell shown. The value obtained for the energy above the most stable polymorph in this dataset is 100.5 meV per atom. The calculation puts the energy relative to the elements at 0.14 eV/atom.

It has space group P6_3/mmc (No. 194), with a = 5.3059 Å, b = 5.3059 Å, c = 4.0928 Å, α = 90.00°, β = 90.00° and γ = 120.00°. The distinct sites, in fractional coordinates, are Cr at (0.1555, 0.3111, 0.2500) and Rh at (0.3333, 0.6667, 0.7500).

***

Entry 15:
Ba4AlCu | GGA-PBE | optimized geometry

The value obtained for the total energy is -45.1 eV for the cell shown. The calculation puts the energy relative to the elements at 0.71 eV/atom.

It has space group F-43m (No. 216), with a = 10.1295 Å, b = 10.1295 Å, c = 10.1295 Å, α = 90.00°, β = 90.00° and γ = 90.00°. The distinct sites, in fractional coordinates, are Ba at (0.1252, 0.1252, 0.1252), Al at (0.0000, 0.0000, 0.5000) and Cu at (0.2500, 0.2500, 0.7500).

***

Entry 16:
NaPrGdAl | GGA-PBE | optimized geometry

The value obtained for the total energy is -96.6 eV for the cell shown. The calculation puts the energy relative to the elements at -0.06 eV/atom.

It has space group F-43m (No. 216), with a = 7.6363 Å, b = 7.6363 Å, c = 7.6363 Å, α = 90.00°, β = 90.00° and γ = 90.00°. The distinct sites, in fractional coordinates, are Na at (0.0000, 0.0000, 0.0000), Pr at (0.2500, 0.2500, 0.7500), Gd at (0.2500, 0.2500, 0.2500) and Al at (0.0000, 0.0000, 0.5000).

***

Entry 17:
Ba2Tl3Pd12Pt | GGA-PBE | optimized geometry

The value obtained for the total energy is -243.8 eV for the cell shown. The calculation puts the energy relative to the elements at -0.11 eV/atom.

It has space group R-3m (No. 166, hexagonal axes), with a = 9.5657 Å, b = 9.5657 Å, c = 13.8192 Å, α = 90.00°, β = 90.00° and γ = 120.00°. The distinct sites, in fractional coordinates, are Ba at (0.0000, 0.0000, 0.1675), Tl at (0.0000, 0.5000, 0.0000), Pd at (0.0105, 0.5053, 0.6035), Pd at (0.0205, 0.5102, 0.2047) and Pt at (0.0000, 0.0000, 0.5000).

***

Entry 18:
YRuSe2Br | GGA-PBE | optimized geometry

The value obtained for the total energy is -26.0 eV for the cell shown. As for the formation energy (no corrections): -320 meV per atom. The value obtained for the energy above the most stable polymorph in this dataset is 0.0 meV per atom.

It has space group P4/mmm (No. 123), with a = 4.9186 Å, b = 4.9186 Å, c = 4.9208 Å, α = 90.00°, β = 90.00° and γ = 90.00°. The distinct sites, in fractional coordinates, are Y at (0.0000, 0.0000, 0.0000), Ru at (0.5000, 0.5000, 0.5000), Se at (0.0000, 0.5000, 0.5000) and Br at (0.5000, 0.5000, 0.0000).

***

Entry 19:
Ho2TmPaRu2 | GGA-PBE | optimized geometry

The value obtained for the total energy is -174.1 eV for the cell shown. The calculation puts the energy relative to the elements at -0.31 eV/atom.

It has space group Ibam (No. 72), with a = 6.7253 Å, b = 13.6151 Å, c = 6.6765 Å, α = 90.00°, β = 90.00° and γ = 90.00°. The distinct sites, in fractional coordinates, are Ho at (0.2101, 0.1937, 0.0000), Tm at (0.0000, 0.5000, 0.2500), Pa at (0.0000, 0.0000, 0.2500) and Ru at (0.2086, 0.1042, 0.5000).

***

Entry 20:
HfV2Cr | GGA-PBE | optimized geometry

The value obtained for the total energy is -140.5 eV for the cell shown. The value obtained for the energy above the most stable polymorph in this dataset is 590.1 meV per atom. The calculation puts the energy relative to the elements at 0.67 eV/atom.

It has space group I-42d (No. 122), with a = 3.6579 Å, b = 3.6579 Å, c = 19.2733 Å, α = 90.00°, β = 90.00° and γ = 90.00°. The distinct sites, in fractional coordinates, are Hf at (0.0000, 0.0000, 0.0000), V at (0.2399, 0.2500, 0.6250) and Cr at (0.0000, 0.0000, 0.5000).